one:
A geometry-optimized PmMoO4 structure. Source: Alexandria via LeMat-Bulk, functional PBE+U.

Lattice parameters (Å, degrees): 6.290 6.290 6.290 113.63 113.63 101.44
Element x y z (fractional)
Pm (0.000, 0.000, 0.000)
Mo (0.250, 0.750, 0.500)
O (0.079, 0.409, 0.214)
O (0.135, 0.921, 0.330)
O (0.194, 0.865, 0.786)
O (0.591, 0.806, 0.670)

Summary:
V = 188.8 Å³ per cell
symmetry = I-4 (82)
magnetization = 1.00 μB/f.u.

two:
A geometry-optimized PmMoO4 structure. Source: Alexandria via LeMat-Bulk, functional PBE+U.

Lattice parameters (Å, degrees): 7.604 5.497 7.801 90.00 99.37 90.00
Element x y z (fractional)
Pm (0.151, 0.219, 0.396)
Pm (0.151, 0.281, 0.896)
Pm (0.849, 0.719, 0.104)
Pm (0.849, 0.781, 0.604)
Mo (0.332, 0.740, 0.196)
Mo (0.332, 0.760, 0.696)
Mo (0.668, 0.240, 0.304)
Mo (0.668, 0.260, 0.804)
O (0.120, 0.514, 0.171)
O (0.120, 0.986, 0.671)
O (0.168, 0.000, 0.123)
O (0.168, 0.500, 0.623)
O (0.321, 0.643, 0.937)
O (0.321, 0.857, 0.437)
O (0.444, 0.118, 0.803)
O (0.444, 0.382, 0.303)
O (0.556, 0.618, 0.697)
O (0.556, 0.882, 0.197)
O (0.679, 0.143, 0.563)
O (0.679, 0.357, 0.063)
O (0.832, 0.000, 0.877)
O (0.832, 0.500, 0.377)
O (0.880, 0.014, 0.329)
O (0.880, 0.486, 0.829)

Summary:
V = 321.7 Å³ per cell
symmetry = P2_1/c (14)
magnetization = 1.00 μB/f.u.

Stability summary: most stable two, least stable one.

one:
A geometry-optimized Pr3MoO6 structure. Source: Alexandria via LeMat-Bulk, functional PBE+U.

Lattice parameters (Å, degrees): 7.461 7.461 5.815 90.00 90.00 101.33
Element x y z (fractional)
Pr (0.104, 0.896, 0.500)
Pr (0.175, 0.412, 0.449)
Pr (0.412, 0.175, 0.949)
Pr (0.588, 0.825, 0.449)
Pr (0.825, 0.588, 0.949)
Pr (0.896, 0.104, 0.000)
Mo (0.358, 0.642, 0.941)
Mo (0.642, 0.358, 0.441)
O (0.107, 0.602, 0.760)
O (0.146, 0.171, 0.724)
O (0.171, 0.146, 0.224)
O (0.279, 0.721, 0.266)
O (0.398, 0.893, 0.760)
O (0.489, 0.511, 0.647)
O (0.511, 0.489, 0.147)
O (0.602, 0.107, 0.260)
O (0.721, 0.279, 0.766)
O (0.829, 0.854, 0.724)
O (0.854, 0.829, 0.224)
O (0.893, 0.398, 0.260)

Summary:
V = 317.4 Å³ per cell
symmetry = Cmc2_1 (36)
magnetization = 3.00 μB/f.u.

two:
A geometry-optimized Pr3MoO6 structure. Source: Alexandria via LeMat-Bulk, functional PBE+U.

Lattice parameters (Å, degrees): 6.920 6.920 6.920 92.74 92.74 92.74
Element x y z (fractional)
Pr (0.062, 0.755, 0.570)
Pr (0.245, 0.430, 0.938)
Pr (0.430, 0.938, 0.245)
Pr (0.570, 0.062, 0.755)
Pr (0.755, 0.570, 0.062)
Pr (0.938, 0.245, 0.430)
Mo (0.000, 0.000, 0.000)
Mo (0.500, 0.500, 0.500)
O (0.039, 0.699, 0.910)
O (0.090, 0.961, 0.301)
O (0.198, 0.435, 0.584)
O (0.301, 0.090, 0.961)
O (0.416, 0.802, 0.565)
O (0.435, 0.584, 0.198)
O (0.565, 0.416, 0.802)
O (0.584, 0.198, 0.435)
O (0.699, 0.910, 0.039)
O (0.802, 0.565, 0.416)
O (0.910, 0.039, 0.699)
O (0.961, 0.301, 0.090)

Summary:
V = 330.2 Å³ per cell
symmetry = R-3 (148)
magnetization = 3.00 μB/f.u.

Stability summary: most stable two, least stable one.